18
Lattice="3.1756 0.0000 0.0000 -1.5878 7.4844 0.0000 0.0000 0.0000 11.8334" Properties=species:S:1:pos:R:3 comment="K2TiMnO5 | Alexandria | GGA+U | optimized geometry" dos_at_fermi_per_ev_fu=0.04 spacegroup="Cmc2_1, No. 36" dft_energy_ev_per_atom=-6.65 pbc="T T T"
Mn 1.5878 4.1574 6.2659
O 0.0000 4.2340 7.4210
Mn 0.0000 3.3270 0.3492
O 1.5878 2.8254 10.8449
O 0.0000 4.6590 4.9282
O 1.5878 3.2504 1.5043
Ti 0.0000 6.5019 5.2336
O 1.5878 2.4632 5.8797
K 1.5878 5.3602 9.5871
O 1.5878 0.1660 9.6308
Ti 1.5878 0.9825 11.1503
O 0.0000 7.3184 3.7141
O 0.0000 0.7789 0.3042
K 0.0000 2.1242 3.6704
K 1.5878 5.9921 1.9167
K 0.0000 1.4922 7.8334
O 1.5878 6.7055 6.2209
O 0.0000 5.0212 11.7964